AcFeGe (GGA-PBE, optimized geometry); total magnetization = 11.8 μB/cell; ΔE to the lowest computed polymorph = 0.0 meV/atom
1.0
6.621 0.000 0.000
0.000 6.621 0.000
0.000 0.000 6.621
Ac Fe Ge
4 4 4
Cartesian
0.000 0.000 0.000
0.000 3.310 3.310
3.310 0.000 3.310
3.310 3.310 0.000
1.655 1.655 4.965
1.655 4.965 1.655
4.965 1.655 1.655
4.965 4.965 4.965
0.000 0.000 3.310
0.000 3.310 0.000
3.310 0.000 0.000
3.310 3.310 3.310

AcHfFe (GGA-PBE, optimized geometry); formation enthalpy at 0 K = 0.4579 eV per atom; total magnetization = 0.7 μB/cell
1.0
6.656 0.000 0.000
0.000 6.656 0.000
0.000 0.000 6.656
Ac Hf Fe
4 4 4
Cartesian
0.000 0.000 0.000
0.000 3.328 3.328
3.328 0.000 3.328
3.328 3.328 0.000
0.000 0.000 3.328
0.000 3.328 0.000
3.328 0.000 0.000
3.328 3.328 3.328
1.664 1.664 4.992
1.664 4.992 1.664
4.992 1.664 1.664
4.992 4.992 4.992

Ac3Hf4Fe (GGA-PBE, optimized geometry); formation enthalpy at 0 K = 1.5058 eV per atom; total magnetization = 0.6 μB/cell
1.0
6.173 0.000 0.000
0.000 6.173 0.000
0.000 0.000 6.173
Ac Hf Fe
3 4 1
Cartesian
0.000 0.000 3.087
0.000 3.087 0.000
3.087 0.000 0.000
0.000 0.000 0.000
0.000 3.087 3.087
3.087 0.000 3.087
3.087 3.087 0.000
3.087 3.087 3.087

AcFeHg (GGA-PBE, optimized geometry); formation enthalpy at 0 K = 0.2866 eV per atom; total magnetization = 7.5 μB/cell; ΔE to the lowest computed polymorph = 0.0 meV/atom
1.0
6.897 0.000 0.000
0.000 6.897 0.000
0.000 0.000 6.897
Ac Fe Hg
4 4 4
Cartesian
0.000 0.000 0.000
0.000 3.449 3.449
3.449 0.000 3.449
3.449 3.449 0.000
1.724 1.724 1.724
1.724 5.173 5.173
5.173 1.724 5.173
5.173 5.173 1.724
0.000 0.000 3.449
0.000 3.449 0.000
3.449 0.000 0.000
3.449 3.449 3.449

AcFeHg (GGA-PBE, optimized geometry); formation enthalpy at 0 K = 0.7433 eV per atom; total magnetization = 9.1 μB/cell; ΔE to the lowest computed polymorph = 456.7 meV/atom
1.0
7.324 0.000 0.000
0.000 7.324 0.000
0.000 0.000 7.324
Ac Fe Hg
4 4 4
Cartesian
0.000 0.000 0.000
0.000 3.662 3.662
3.662 0.000 3.662
3.662 3.662 0.000
1.831 1.831 5.493
1.831 5.493 1.831
5.493 1.831 1.831
5.493 5.493 5.493
1.831 1.831 1.831
1.831 5.493 5.493
5.493 1.831 5.493
5.493 5.493 1.831

AcHoFe (GGA-PBE, optimized geometry); formation enthalpy at 0 K = 0.2990 eV per atom; total magnetization = 1.1 μB/cell
1.0
6.931 0.000 0.000
0.000 6.931 0.000
0.000 0.000 6.931
Ac Ho Fe
4 4 4
Cartesian
0.000 0.000 0.000
0.000 3.466 3.466
3.466 0.000 3.466
3.466 3.466 0.000
0.000 0.000 3.466
0.000 3.466 0.000
3.466 0.000 0.000
3.466 3.466 3.466
1.733 1.733 1.733
1.733 5.198 5.198
5.198 1.733 5.198
5.198 5.198 1.733